This record from Alexandria via LeMat-Bulk describes a geometry-optimized SrTaGe3 structure. The functional is GGA-PBE.

Cell lengths 5.2372, 5.2372, 5.2372 Å; angles 90.00, 90.00, 90.00 degrees
Fractional coordinates of all 5 atoms:
Sr (0.0000, 0.0000, 0.0000)
Ge (0.0000, 0.5000, 0.0000)
Ge (0.0000, 0.0000, 0.5000)
Ge (0.5000, 0.0000, 0.0000)
Ta (0.5000, 0.5000, 0.5000)

## Properties
total magnetization = 0.000 μB/atom
E = -3.52 eV per atom